Entry i
Below is a relaxed structure of MgAgPt3, with properties calculated at the PBE-GGA level. Values from VASP.

For the magnetization, the calculation gives 0.00 μB per cell. As for the density of states at the Fermi level: 2.669 states/eV/cell. The value obtained for the volume is 19.76 A^3/atom. As for the crystal system: cubic.

```
&SYSTEM
  ibrav = 0, nat = 5, ntyp = 3
/
ATOMIC_SPECIES
Mg 24.30 Mg.upf
Ag 107.87 Ag.upf
Pt 195.08 Pt.upf
CELL_PARAMETERS angstrom
-3.6248 -2.7360 0.8634
-0.6195 -0.6119 -4.5401
2.8013 -3.6756 0.1131
ATOMIC_POSITIONS angstrom
Mg 0.0000 0.0000 0.0000
Ag -0.7215 -3.5118 -1.7818
Pt -0.3098 -0.3060 -2.2700
Pt 1.4007 -1.8378 0.0566
Pt -1.8124 -1.3680 0.4317
```

Entry ii
Below is a relaxed structure of MgAgPt3, with properties calculated at the PBE-GGA level. Values from VASP.

For the magnetization, the calculation gives 0.00 μB per cell. As for the density of states at the Fermi level: 3.246 states/eV/cell. The value obtained for the volume is 23.40 A^3/atom. As for the crystal system: cubic.

```
&SYSTEM
  ibrav = 0, nat = 5, ntyp = 3
/
ATOMIC_SPECIES
Mg 24.30 Mg.upf
Ag 107.87 Ag.upf
Pt 195.08 Pt.upf
CELL_PARAMETERS angstrom
-2.1658 -4.0522 -1.6771
4.3855 -1.9951 -0.8431
0.0144 -1.8770 4.5166
ATOMIC_POSITIONS angstrom
Mg 1.1170 -3.9621 0.9982
Ag 0.0000 0.0000 0.0000
Pt 2.1927 -0.9975 -0.4215
Pt 0.0072 -0.9385 2.2583
Pt -1.0829 -2.0261 -0.8386
```

What should be chosen as the least stable of them? Choose entry ii.

Entry i
Below is a relaxed structure of PuMgAg4, with properties calculated at the PBE-GGA level. Values from VASP.

For the magnetization, the calculation gives 5.85 μB per cell. As for the density of states at the Fermi level: 18.215 states/eV/cell. The value obtained for the volume is 21.74 A^3/atom. As for the crystal system: hexagonal.

```
&SYSTEM
  ibrav = 0, nat = 6, ntyp = 3
/
ATOMIC_SPECIES
Pu 244.00 Pu.upf
Mg 24.30 Mg.upf
Ag 107.87 Ag.upf
CELL_PARAMETERS angstrom
4.7287 0.0000 0.0000
-2.3643 4.0952 0.0000
0.0000 0.0000 6.7355
ATOMIC_POSITIONS angstrom
Pu 0.0000 0.0000 3.3677
Mg 0.0000 0.0000 0.0000
Ag 0.0000 2.7301 1.4695
Ag 0.0000 2.7301 5.2660
Ag 2.3643 1.3651 1.4695
Ag 2.3643 1.3651 5.2660
```

Entry ii
Below is a relaxed structure of PuMgAg4, with properties calculated at the PBE-GGA level. Values from VASP.

For the magnetization, the calculation gives 5.72 μB per cell. As for the density of states at the Fermi level: 19.538 states/eV/cell. The value obtained for the volume is 21.00 A^3/atom. As for the crystal system: cubic.

```
&SYSTEM
  ibrav = 0, nat = 6, ntyp = 3
/
ATOMIC_SPECIES
Mg 24.30 Mg.upf
Ag 107.87 Ag.upf
Pu 244.00 Pu.upf
CELL_PARAMETERS angstrom
5.6273 0.0000 0.0000
2.8137 4.8734 0.0000
2.8137 1.6245 4.5947
ATOMIC_POSITIONS angstrom
Mg 0.0000 0.0000 0.0000
Ag 5.6273 3.2489 0.5675
Ag 5.6273 1.6180 2.8739
Ag 7.0397 4.0644 2.8739
Ag 4.2149 4.0644 2.8739
Pu 2.8137 1.6245 1.1487
```

What should be chosen as the least stable of them? Choose entry i.

Entry i
Below is a relaxed structure of Mg2ReAg, with properties calculated at the PBE-GGA level. Values from VASP.

For the magnetization, the calculation gives 0.00 μB per cell. As for the density of states at the Fermi level: 2.690 states/eV/cell. The value obtained for the volume is 17.00 A^3/atom. As for the crystal system: tetragonal.

```
&SYSTEM
  ibrav = 0, nat = 4, ntyp = 3
/
ATOMIC_SPECIES
Ag 107.87 Ag.upf
Mg 24.30 Mg.upf
Re 186.21 Re.upf
CELL_PARAMETERS angstrom
-2.3924 -1.0744 -0.9228
0.3924 -2.2433 1.5947
-4.3051 3.9291 6.5867
ATOMIC_POSITIONS angstrom
Ag -4.2288 1.2880 5.2759
Mg -0.0182 0.0166 0.0279
Mg -2.1343 1.9480 3.2655
Re -2.0763 -0.6766 1.9826
```

Entry ii
Below is a relaxed structure of Mg2ReAg, with properties calculated at the PBE-GGA level. Values from VASP.

For the magnetization, the calculation gives 0.00 μB per cell. As for the density of states at the Fermi level: 1.820 states/eV/cell. The value obtained for the volume is 17.07 A^3/atom. As for the crystal system: monoclinic.

```
&SYSTEM
  ibrav = 0, nat = 4, ntyp = 3
/
ATOMIC_SPECIES
Ag 107.87 Ag.upf
Mg 24.30 Mg.upf
Re 186.21 Re.upf
CELL_PARAMETERS angstrom
-3.0730 -3.1084 -3.2823
-0.8576 -2.4406 -4.8153
1.4400 -4.8816 -0.0455
ATOMIC_POSITIONS angstrom
Ag -0.7342 -2.1364 -1.9916
Mg -3.7738 -5.9680 -8.0535
Mg -2.0326 -7.4048 -6.1630
Re -1.1259 -5.6859 -4.1041
```

What should be chosen as the least stable of them? Choose entry ii.

Entry i
Below is a relaxed structure of Mg2ReAg, with properties calculated at the PBE-GGA level. Values from VASP.

For the magnetization, the calculation gives 0.00 μB per cell. As for the density of states at the Fermi level: 2.539 states/eV/cell. The value obtained for the volume is 17.12 A^3/atom. As for the crystal system: tetragonal.

```
&SYSTEM
  ibrav = 0, nat = 4, ntyp = 3
/
ATOMIC_SPECIES
Ag 107.87 Ag.upf
Mg 24.30 Mg.upf
Re 186.21 Re.upf
CELL_PARAMETERS angstrom
5.1898 0.0011 0.0000
2.1695 4.7146 0.0000
-3.6797 -2.3579 2.7991
ATOMIC_POSITIONS angstrom
Ag 2.5949 0.0006 1.3995
Mg 0.0000 0.0000 0.0000
Mg 1.0847 2.3573 1.3995
Re 3.6797 2.3579 0.0000
```

Entry ii
Below is a relaxed structure of Mg2ReAg, with properties calculated at the PBE-GGA level. Values from VASP.

For the magnetization, the calculation gives 0.00 μB per cell. As for the density of states at the Fermi level: 2.659 states/eV/cell. The value obtained for the volume is 17.11 A^3/atom. As for the crystal system: orthorhombic.

```
&SYSTEM
  ibrav = 0, nat = 4, ntyp = 3
/
ATOMIC_SPECIES
Ag 107.87 Ag.upf
Mg 24.30 Mg.upf
Re 186.21 Re.upf
CELL_PARAMETERS angstrom
2.9635 0.0000 0.0000
0.0000 4.9647 0.0000
0.0000 0.0000 4.6525
ATOMIC_POSITIONS angstrom
Ag 0.0000 2.4824 2.3262
Mg 0.0000 0.0000 0.0000
Mg 1.4817 2.4824 0.0000
Re 1.4817 0.0000 2.3262
```

What should be chosen as the least stable of them? Choose entry i.

Entry i
Below is a relaxed structure of Mg3ReAg, with properties calculated at the PBE-GGA level. Values from VASP.

For the magnetization, the calculation gives 3.01 μB per cell. As for the density of states at the Fermi level: 3.882 states/eV/cell. The value obtained for the volume is 23.31 A^3/atom. As for the crystal system: cubic.

```
&SYSTEM
  ibrav = 0, nat = 5, ntyp = 3
/
ATOMIC_SPECIES
Re 186.21 Re.upf
Mg 24.30 Mg.upf
Ag 107.87 Ag.upf
CELL_PARAMETERS angstrom
4.8848 0.0000 0.0000
0.0000 4.8848 0.0000
0.0000 0.0000 4.8848
ATOMIC_POSITIONS angstrom
Re 2.4424 2.4424 2.4424
Mg 0.0000 2.4424 0.0000
Mg 0.0000 0.0000 2.4424
Mg 2.4424 0.0000 0.0000
Ag 0.0000 0.0000 0.0000
```

Entry ii
Below is a relaxed structure of Mg3ReAg, with properties calculated at the PBE-GGA level. Values from VASP.

For the magnetization, the calculation gives 0.63 μB per cell. As for the density of states at the Fermi level: 4.856 states/eV/cell. The value obtained for the volume is 26.06 A^3/atom. As for the crystal system: cubic.

```
&SYSTEM
  ibrav = 0, nat = 5, ntyp = 3
/
ATOMIC_SPECIES
Re 186.21 Re.upf
Mg 24.30 Mg.upf
Ag 107.87 Ag.upf
CELL_PARAMETERS angstrom
5.0699 0.0000 0.0000
0.0000 5.0699 0.0000
0.0000 0.0000 5.0699
ATOMIC_POSITIONS angstrom
Re 0.0000 0.0000 0.0000
Mg 0.0000 2.5350 0.0000
Mg 0.0000 0.0000 2.5350
Mg 2.5350 0.0000 0.0000
Ag 2.5350 2.5350 2.5350
```

What should be chosen as the least stable of them? Choose entry i.

Entry i
Below is a relaxed structure of MgReAg, with properties calculated at the PBE-GGA level. Values from VASP.

For the magnetization, the calculation gives 0.00 μB per cell. As for the density of states at the Fermi level: 0.863 states/eV/cell. The value obtained for the volume is 16.52 A^3/atom. As for the crystal system: orthorhombic.

```
&SYSTEM
  ibrav = 0, nat = 3, ntyp = 3
/
ATOMIC_SPECIES
Ag 107.87 Ag.upf
Mg 24.30 Mg.upf
Re 186.21 Re.upf
CELL_PARAMETERS angstrom
-5.6651 1.9938 4.1325
-5.3568 -0.6597 4.6796
1.1444 1.3576 2.0696
ATOMIC_POSITIONS angstrom
Ag -11.0062 1.3341 8.8035
Mg -2.8815 1.3498 4.3007
Re -7.0118 1.3418 6.5898
```

Entry ii
Below is a relaxed structure of MgReAg, with properties calculated at the PBE-GGA level. Values from VASP.

For the magnetization, the calculation gives 0.00 μB per cell. As for the density of states at the Fermi level: 1.109 states/eV/cell. The value obtained for the volume is 16.49 A^3/atom. As for the crystal system: tetragonal.

```
&SYSTEM
  ibrav = 0, nat = 3, ntyp = 3
/
ATOMIC_SPECIES
Ag 107.87 Ag.upf
Mg 24.30 Mg.upf
Re 186.21 Re.upf
CELL_PARAMETERS angstrom
6.9438 -0.0060 0.0000
5.8788 3.6954 0.0000
-6.4113 -1.8447 1.9258
ATOMIC_POSITIONS angstrom
Ag 0.0051 0.0015 0.0000
Mg 4.2341 1.2183 0.0000
Re 8.5833 2.4697 0.0000
```

What should be chosen as the least stable of them? Choose entry ii.

Entry i
Below is a relaxed structure of MgReAg, with properties calculated at the PBE-GGA level. Values from VASP.

For the magnetization, the calculation gives 2.08 μB per cell. As for the density of states at the Fermi level: 1.804 states/eV/cell. The value obtained for the volume is 20.11 A^3/atom. As for the crystal system: cubic.

```
&SYSTEM
  ibrav = 0, nat = 3, ntyp = 3
/
ATOMIC_SPECIES
Ag 107.87 Ag.upf
Mg 24.30 Mg.upf
Re 186.21 Re.upf
CELL_PARAMETERS angstrom
-3.0845 -3.0776 0.6282
0.1162 -2.5301 3.6008
-3.0223 0.5251 3.1576
ATOMIC_POSITIONS angstrom
Ag -4.4930 -3.8120 5.5399
Mg 0.0000 0.0000 0.0000
Re -2.9954 -2.5413 3.6933
```

Entry ii
Below is a relaxed structure of MgReAg, with properties calculated at the PBE-GGA level. Values from VASP.

For the magnetization, the calculation gives 0.69 μB per cell. As for the density of states at the Fermi level: 2.285 states/eV/cell. The value obtained for the volume is 16.85 A^3/atom. As for the crystal system: orthorhombic.

```
&SYSTEM
  ibrav = 0, nat = 3, ntyp = 3
/
ATOMIC_SPECIES
Ag 107.87 Ag.upf
Mg 24.30 Mg.upf
Re 186.21 Re.upf
CELL_PARAMETERS angstrom
-1.0276 -2.5203 4.3052
3.7300 -1.2738 3.2260
-2.6552 3.5958 -2.4419
ATOMIC_POSITIONS angstrom
Ag 0.0011 -0.0016 0.0031
Mg 1.8021 -2.5301 5.0222
Re 0.8992 -1.2625 2.5060
```

Entry iii
Below is a relaxed structure of MgReAg, with properties calculated at the PBE-GGA level. Values from VASP.

For the magnetization, the calculation gives 0.00 μB per cell. As for the density of states at the Fermi level: 2.146 states/eV/cell. The value obtained for the volume is 16.49 A^3/atom. As for the crystal system: trigonal.

```
&SYSTEM
  ibrav = 0, nat = 3, ntyp = 3
/
ATOMIC_SPECIES
Ag 107.87 Ag.upf
Mg 24.30 Mg.upf
Re 186.21 Re.upf
CELL_PARAMETERS angstrom
-0.0020 -2.5519 -1.2024
0.7884 0.2897 2.6930
-6.7965 -0.9820 2.0954
ATOMIC_POSITIONS angstrom
Ag -0.0186 -0.0027 0.0057
Mg -2.0205 -1.9344 0.7996
Re -3.9709 -1.3071 2.7807
```

What should be chosen as the least stable of them? Choose entry i.

Entry i
Below is a relaxed structure of Mg2Ag2Rh, with properties calculated at the PBE-GGA level. Values from VASP.

For the magnetization, the calculation gives 0.00 μB per cell. As for the density of states at the Fermi level: 3.398 states/eV/cell. The value obtained for the volume is 17.81 A^3/atom. As for the crystal system: tetragonal.

```
&SYSTEM
  ibrav = 0, nat = 10, ntyp = 3
/
ATOMIC_SPECIES
Mg 24.30 Mg.upf
Rh 102.91 Rh.upf
Ag 107.87 Ag.upf
CELL_PARAMETERS angstrom
-3.7938 2.4765 -5.7684
-0.2661 -6.7973 -2.7432
-2.8307 -0.5459 1.6273
ATOMIC_POSITIONS angstrom
Mg -2.2510 -4.4194 -2.0309
Mg -4.1889 -4.2271 -5.3372
Mg -4.6396 -0.4474 -4.8533
Mg -2.7017 -0.6397 -1.5470
Rh 0.0000 0.0000 0.0000
Rh -2.0300 -2.1604 -4.2558
Ag -1.6299 -4.9917 -4.5096
Ag -3.4636 -2.1401 -6.7427
Ag -2.4301 0.6708 -4.0020
Ag -0.5963 -2.1808 -1.7689
```

Entry ii
Below is a relaxed structure of Mg2Ag2Rh, with properties calculated at the PBE-GGA level. Values from VASP.

For the magnetization, the calculation gives 0.00 μB per cell. As for the density of states at the Fermi level: 5.247 states/eV/cell. The value obtained for the volume is 17.71 A^3/atom. As for the crystal system: tetragonal.

```
&SYSTEM
  ibrav = 0, nat = 10, ntyp = 3
/
ATOMIC_SPECIES
Mg 24.30 Mg.upf
Rh 102.91 Rh.upf
Ag 107.87 Ag.upf
CELL_PARAMETERS angstrom
6.9801 0.0000 0.0000
0.0000 6.9801 0.0000
0.0000 0.0000 3.6339
ATOMIC_POSITIONS angstrom
Mg 2.4395 5.9295 0.0000
Mg 5.9295 4.5406 0.0000
Mg 4.5406 1.0505 0.0000
Mg 1.0505 2.4395 0.0000
Rh 0.0000 0.0000 0.0000
Rh 3.4900 3.4900 0.0000
Ag 1.0808 4.5708 1.8170
Ag 4.5708 5.8993 1.8170
Ag 5.8993 2.4093 1.8170
Ag 2.4093 1.0808 1.8170
```

What should be chosen as the least stable of them? Choose entry ii.